Entry 1:
{
  "formula": "TaCdSN2",
  "functional": "GGA-PBE",
  "state": "optimized geometry",
  "e_form_raw_mev_per_atom": -5,
  "e_tot_ev_per_atom": -6.71,
  "n_ef_per_ev_atom": 0.254,
  "vol_a3_per_atom": 16.73,
  "sg": "P4/mmm (123)",
  "lattice": [[3.997, 0.000, 0.000], [0.000, 3.997, 0.000], [0.000, 0.000, 5.235]],
  "species": ["N", "N", "S", "Cd", "Ta"],
  "fractional_positions": [[0.000, 0.500, 0.000], [0.500, 0.000, 0.000], [0.000, 0.000, 0.500], [0.500, 0.500, 0.500], [0.000, 0.000, 0.000]]
}

=====

Entry 2:
{
  "formula": "Gd2SnGe",
  "functional": "GGA-PBE",
  "state": "optimized geometry",
  "e_tot_ev_per_atom": -9.85,
  "e_form_mev_per_atom": -654,
  "n_ef_per_ev_atom": 0.766,
  "vol_a3_per_atom": 25.17,
  "sg": "P4/mmm (123)",
  "lattice": [[4.319, 0.000, 0.000], [0.000, 4.828, 0.000], [0.000, 0.000, 4.828]],
  "species": ["Ge", "Gd", "Gd", "Sn"],
  "fractional_positions": [[0.500, 0.000, 0.000], [0.000, 0.000, 0.500], [0.000, 0.500, 0.000], [0.500, 0.500, 0.500]]
}

=====

Entry 3:
{
  "formula": "CsGaOF2",
  "functional": "GGA-PBE",
  "state": "optimized geometry",
  "e_form_raw_mev_per_atom": -2157,
  "e_tot_ev_per_atom": -4.67,
  "n_ef_per_ev_atom": 0.000,
  "vol_a3_per_atom": 15.10,
  "sg": "P4/mmm (123)",
  "lattice": [[-1.079, -4.419, 0.126], [3.500, -0.933, -2.755], [2.163, -0.445, 2.899]],
  "species": ["Cs", "O", "Ga", "F", "F"],
  "fractional_positions": [[0.500, 0.500, 0.500], [0.000, 0.000, 0.500], [0.000, 0.000, 0.000], [0.000, 0.500, 0.000], [0.500, 0.000, 0.000]]
}

=====

Entry 4:
{
  "formula": "Sc4TlBr",
  "functional": "GGA-PBE",
  "state": "optimized geometry",
  "e_form_raw_mev_per_atom": 177,
  "e_tot_ev_per_atom": -4.72,
  "n_ef_per_ev_atom": 1.460,
  "vol_a3_per_atom": 25.40,
  "sg": "F-43m (216)",
  "lattice": [[4.878, -3.448, 0.519], [-0.501, -5.967, -0.302], [2.110, -2.947, -4.776]],
  "species": ["Sc", "Sc", "Sc", "Sc", "Tl", "Br"],
  "fractional_positions": [[0.868, 0.377, 0.377], [0.377, 0.377, 0.868], [0.377, 0.868, 0.377], [0.377, 0.377, 0.377], [0.750, 0.750, 0.750], [0.000, 0.000, 0.000]]
}

=====

Entry 5:
{
  "formula": "LiAcSi4",
  "functional": "GGA-PBE",
  "state": "optimized geometry",
  "e_form_raw_mev_per_atom": -163,
  "e_tot_ev_per_atom": -4.78,
  "n_ef_per_ev_atom": 0.402,
  "vol_a3_per_atom": 20.10,
  "sg": "P6/mmm (191)",
  "lattice": [[4.093, 0.000, 0.000], [-2.046, 3.545, 0.000], [0.000, 0.000, 8.314]],
  "species": ["Li", "Ac", "Si", "Si", "Si", "Si"],
  "fractional_positions": [[0.000, 0.000, 0.000], [0.000, 0.000, 0.500], [0.667, 0.333, 0.788], [0.333, 0.667, 0.212], [0.667, 0.333, 0.212], [0.333, 0.667, 0.788]]
}

=====

Entry 6:
{
  "formula": "TaGaRh2",
  "functional": "GGA-PBE",
  "state": "optimized geometry",
  "e_tot_ev_per_atom": -7.80,
  "e_form_mev_per_atom": -409,
  "n_ef_per_ev_atom": 0.918,
  "vol_a3_per_atom": 15.42,
  "sg": "Cm (8)",
  "lattice": [[2.914, -0.003, -0.001], [1.454, 2.525, -0.001], [1.452, 0.838, 8.380]],
  "species": ["Ta", "Ga", "Rh", "Rh"],
  "fractional_positions": [[0.667, 0.667, 0.000], [0.500, 0.500, 0.500], [0.088, 0.088, 0.737], [0.246, 0.246, 0.263]]
}

=====

Entry 7:
{
  "formula": "TaZnCd",
  "functional": "GGA-PBE",
  "state": "optimized geometry",
  "e_tot_ev_per_atom": -4.35,
  "e_form_mev_per_atom": 333,
  "n_ef_per_ev_atom": 0.652,
  "vol_a3_per_atom": 17.68,
  "sg": "P-6m2 (187)",
  "lattice": [[-0.325, 4.371, -1.121], [0.452, -3.136, -3.229], [-2.977, -0.263, -0.162]],
  "species": ["Cd", "Ta", "Zn"],
  "fractional_positions": [[0.000, 0.000, 0.833], [0.667, 0.333, 0.333], [0.333, 0.667, 0.834]]
}

=====

Entry 8:
{
  "formula": "PmPr2DyHo5",
  "functional": "GGA-PBE",
  "state": "optimized geometry",
  "e_tot_ev_per_atom": -4.38,
  "e_form_mev_per_atom": 264,
  "n_ef_per_ev_atom": 1.162,
  "vol_a3_per_atom": 32.83,
  "sg": "I4/mcm (140)",
  "lattice": [[-7.732, -3.972, -0.204], [0.679, -0.878, -8.624], [7.050, -4.484, 5.395]],
  "species": ["Pm", "Pm", "Pr", "Pr", "Pr", "Pr", "Dy", "Dy", "Ho", "Ho", "Ho", "Ho", "Ho", "Ho", "Ho", "Ho", "Ho", "Ho"],
  "fractional_positions": [[0.250, 0.250, 0.500], [0.750, 0.750, 0.500], [0.118, 0.382, 0.000], [0.618, 0.118, 0.000], [0.382, 0.882, 0.000], [0.882, 0.618, 0.000], [0.250, 0.750, 0.500], [0.750, 0.250, 0.500], [0.928, 0.428, 0.279], [0.649, 0.149, 0.721], [0.072, 0.572, 0.721], [0.149, 0.072, 0.721], [0.572, 0.649, 0.721], [0.851, 0.928, 0.279], [0.428, 0.351, 0.279], [0.351, 0.851, 0.279], [0.500, 0.500, 0.000], [0.000, 0.000, 0.000]]
}

=====

Entry 9:
{
  "formula": "ZnNiTePt2",
  "functional": "GGA-PBE",
  "state": "optimized geometry",
  "e_form_raw_mev_per_atom": 483,
  "e_tot_ev_per_atom": -3.97,
  "n_ef_per_ev_atom": 1.093,
  "vol_a3_per_atom": 19.24,
  "sg": "P4/mmm (123)",
  "lattice": [[4.693, 0.000, 0.000], [0.000, 4.367, 0.000], [0.000, 0.000, 4.693]],
  "species": ["Ni", "Zn", "Te", "Pt", "Pt"],
  "fractional_positions": [[0.000, 0.000, 0.000], [0.000, 0.500, 0.000], [0.500, 0.500, 0.500], [0.000, 0.000, 0.500], [0.500, 0.000, 0.000]]
}

=====

Entry 10:
{
  "formula": "HoTlH",
  "functional": "GGA-PBE",
  "state": "optimized geometry",
  "e_tot_ev_per_atom": -3.85,
  "n_ef_per_ev_atom": 0.300,
  "vol_a3_per_atom": 19.98,
  "sg": "P-6m2 (187)",
  "lattice": [[-2.818, -4.492, 0.159], [1.582, -0.882, 3.125], [-3.059, 1.920, 0.003]],
  "species": ["H", "Tl", "Ho"],
  "fractional_positions": [[0.166, 0.000, 0.000], [0.667, 0.333, 0.667], [0.167, 0.667, 0.333]]
}

=====

Entry 11:
{
  "formula": "AsWBr2",
  "functional": "GGA-PBE",
  "state": "optimized geometry",
  "e_form_raw_mev_per_atom": 279,
  "e_tot_ev_per_atom": -4.96,
  "n_ef_per_ev_atom": 0.584,
  "vol_a3_per_atom": 23.62,
  "sg": "P4mm (99)",
  "lattice": [[-0.917, 1.583, 2.505], [-2.829, 0.312, -1.233], [-2.790, -8.389, 4.279]],
  "species": ["As", "Br", "Br", "W"],
  "fractional_positions": [[0.500, 0.500, 0.665], [0.000, 0.000, 0.990], [0.500, 0.500, 0.335], [0.000, 0.000, 0.509]]
}

=====

Entry 12:
{
  "formula": "PmZn9Co2",
  "functional": "GGA-PBE",
  "state": "optimized geometry",
  "e_tot_ev_per_atom": -2.72,
  "e_form_mev_per_atom": -179,
  "n_ef_per_ev_atom": 0.742,
  "vol_a3_per_atom": 15.22,
  "sg": "I4_1/amd (141)",
  "lattice": [[-6.668, -0.214, -1.277], [-3.379, -7.298, 0.804], [-4.731, 1.317, 6.419]],
  "species": ["Pm", "Pm", "Zn", "Zn", "Zn", "Zn", "Zn", "Zn", "Zn", "Zn", "Zn", "Zn", "Zn", "Zn", "Zn", "Zn", "Zn", "Zn", "Zn", "Zn", "Co", "Co", "Co", "Co"],
  "fractional_positions": [[0.500, 0.000, 0.000], [0.250, 0.500, 0.500], [0.750, 0.500, 0.500], [0.000, 0.000, 0.000], [0.017, 0.918, 0.674], [0.610, 0.082, 0.326], [0.685, 0.174, 0.582], [0.442, 0.826, 0.418], [0.733, 0.826, 0.582], [0.140, 0.174, 0.418], [0.065, 0.918, 0.326], [0.308, 0.082, 0.674], [0.733, 0.582, 0.826], [0.140, 0.418, 0.174], [0.065, 0.326, 0.918], [0.308, 0.674, 0.082], [0.017, 0.674, 0.918], [0.610, 0.326, 0.082], [0.685, 0.582, 0.174], [0.442, 0.418, 0.826], [0.875, 0.250, 0.750], [0.875, 0.750, 0.250], [0.875, 0.250, 0.250], [0.375, 0.750, 0.750]]
}

=====

Entry 13:
{
  "formula": "KAlS2",
  "functional": "GGA-PBE",
  "state": "optimized geometry",
  "e_form_raw_mev_per_atom": -963,
  "e_tot_ev_per_atom": -4.24,
  "n_ef_per_ev_atom": 0.000,
  "vol_a3_per_atom": 28.68,
  "sg": "Cmcm (63)",
  "lattice": [[8.820, 5.872, 0.675], [-10.044, -2.587, 2.270], [1.536, -2.730, 3.683]],
  "species": ["K", "K", "S", "S", "S", "S", "Al", "Al"],
  "fractional_positions": [[0.324, 0.676, 0.250], [0.676, 0.324, 0.750], [0.168, 0.832, 0.250], [0.832, 0.168, 0.750], [0.955, 0.045, 0.250], [0.045, 0.955, 0.750], [0.064, 0.936, 0.250], [0.936, 0.064, 0.750]]
}

=====

Entry 14:
{
  "formula": "Nd4Dy6Er",
  "functional": "GGA-PBE",
  "state": "optimized geometry",
  "e_tot_ev_per_atom": -4.36,
  "e_form_mev_per_atom": 294,
  "n_ef_per_ev_atom": 1.301,
  "vol_a3_per_atom": 34.33,
  "sg": "I-42m (121)",
  "lattice": [[7.484, -2.917, -5.486], [-5.170, 8.021, 1.886], [-1.881, 2.917, 9.087]],
  "species": ["Nd", "Nd", "Nd", "Nd", "Dy", "Dy", "Dy", "Dy", "Dy", "Dy", "Er"],
  "fractional_positions": [[0.000, 0.635, 0.014], [0.379, 0.365, 0.365], [0.000, 0.014, 0.635], [0.621, 0.986, 0.986], [0.000, 0.802, 0.447], [0.000, 0.447, 0.802], [0.355, 0.553, 0.553], [0.500, 0.500, 0.000], [0.645, 0.198, 0.198], [0.500, 0.000, 0.500], [0.000, 0.000, 0.000]]
}

=====

Entry 15:
{
  "formula": "MoAu2",
  "functional": "GGA-PBE",
  "state": "optimized geometry",
  "e_tot_ev_per_atom": -5.61,
  "e_form_mev_per_atom": 188,
  "n_ef_per_ev_atom": 0.837,
  "vol_a3_per_atom": 17.28,
  "sg": "C2/m (12)",
  "lattice": [[0.913, -4.547, 4.802], [1.323, -6.056, 2.478], [5.763, 0.133, 0.931]],
  "species": ["Mo", "Mo", "Au", "Au", "Au", "Au"],
  "fractional_positions": [[0.500, 0.500, 0.218], [0.500, 0.500, 0.782], [0.170, 0.170, 0.904], [0.830, 0.830, 0.096], [0.150, 0.150, 0.422], [0.850, 0.850, 0.578]]
}

=====

Entry 16:
{
  "formula": "PrYP2",
  "functional": "GGA-PBE",
  "state": "optimized geometry",
  "e_tot_ev_per_atom": -6.90,
  "e_form_mev_per_atom": -1384,
  "n_ef_per_ev_atom": 0.079,
  "vol_a3_per_atom": 25.09,
  "sg": "R3m (160)",
  "lattice": [[-1.303, 3.395, -1.833], [-2.723, 2.397, 1.850], [3.853, 5.533, 2.984]],
  "species": ["Pr", "Y", "P", "P"],
  "fractional_positions": [[0.669, 0.669, 0.992], [0.498, 0.498, 0.507], [0.086, 0.086, 0.743], [0.247, 0.247, 0.259]]
}

=====

Entry 17:
{
  "formula": "Ga2Ag2Au3",
  "functional": "GGA-PBE",
  "state": "optimized geometry",
  "e_tot_ev_per_atom": -3.19,
  "e_form_mev_per_atom": -111,
  "n_ef_per_ev_atom": 0.209,
  "vol_a3_per_atom": 18.03,
  "sg": "C2/m (12)",
  "lattice": [[3.154, 0.000, 0.000], [-1.577, 6.300, -0.077], [0.000, -3.393, 6.392]],
  "species": ["Ga", "Ga", "Ag", "Ag", "Au", "Au", "Au"],
  "fractional_positions": [[0.812, 0.624, 0.748], [0.188, 0.376, 0.252], [0.857, 0.714, 0.173], [0.143, 0.286, 0.827], [0.500, 0.000, 0.000], [0.593, 0.185, 0.444], [0.407, 0.815, 0.556]]
}

=====

Entry 18:
{
  "formula": "NaMgAu",
  "functional": "GGA-PBE",
  "state": "optimized geometry",
  "e_tot_ev_per_atom": -2.38,
  "e_form_mev_per_atom": -316,
  "n_ef_per_ev_atom": 0.221,
  "vol_a3_per_atom": 20.60,
  "sg": "P2_1/m (11)",
  "lattice": [[-0.223, 2.604, 2.345], [-1.328, -3.029, 3.236], [7.384, -2.413, 0.771]],
  "species": ["Na", "Na", "Mg", "Mg", "Au", "Au"],
  "fractional_positions": [[0.255, 0.250, 0.008], [0.745, 0.750, 0.992], [0.570, 0.250, 0.633], [0.430, 0.750, 0.367], [0.917, 0.250, 0.333], [0.083, 0.750, 0.667]]
}

=====

Entry 19:
{
  "formula": "Pm2Pr5Ho3",
  "functional": "GGA-PBE",
  "state": "optimized geometry",
  "e_tot_ev_per_atom": -4.54,
  "e_form_mev_per_atom": 176,
  "n_ef_per_ev_atom": 1.744,
  "vol_a3_per_atom": 34.89,
  "sg": "C2/c (15)",
  "lattice": [[-1.837, -8.895, -4.412], [6.679, -7.259, 2.253], [-6.624, 6.032, 6.951]],
  "species": ["Pm", "Pm", "Pm", "Pm", "Pr", "Pr", "Pr", "Pr", "Pr", "Pr", "Pr", "Pr", "Pr", "Pr", "Ho", "Ho", "Ho", "Ho", "Ho", "Ho"],
  "fractional_positions": [[0.784, 0.031, 0.757], [0.216, 0.969, 0.243], [0.473, 0.726, 0.757], [0.527, 0.274, 0.243], [0.275, 0.525, 0.049], [0.725, 0.475, 0.951], [0.022, 0.772, 0.544], [0.518, 0.268, 0.535], [0.978, 0.228, 0.456], [0.482, 0.732, 0.465], [0.877, 0.624, 0.758], [0.123, 0.376, 0.242], [0.380, 0.134, 0.758], [0.620, 0.866, 0.242], [0.230, 0.980, 0.959], [0.770, 0.020, 0.041], [0.725, 0.467, 0.248], [0.275, 0.533, 0.752], [0.022, 0.780, 0.248], [0.978, 0.220, 0.752]]
}

=====

Entry 20:
{
  "formula": "SiBr2",
  "functional": "GGA-PBE",
  "state": "optimized geometry",
  "e_form_raw_mev_per_atom": 21,
  "e_tot_ev_per_atom": -2.90,
  "vol_a3_per_atom": 29.49,
  "sg": "I4/mmm (139)",
  "lattice": [[7.612, 0.173, 0.000], [5.893, 4.822, 0.000], [-6.752, -2.497, 2.479]],
  "species": ["Br", "Br", "Si"],
  "fractional_positions": [[0.385, 0.385, 0.000], [0.615, 0.615, 0.000], [0.000, 0.000, 0.000]]
}

=====

Entry 21:
{
  "formula": "Tb2Er3N4",
  "functional": "GGA-PBE",
  "state": "optimized geometry",
  "e_form_raw_mev_per_atom": -1536,
  "e_tot_ev_per_atom": -7.79,
  "n_ef_per_ev_atom": 0.320,
  "vol_a3_per_atom": 16.45,
  "sg": "C2/m (12)",
  "lattice": [[3.361, 0.000, 0.827], [1.489, 5.701, 1.193], [-0.129, 0.504, 7.770]],
  "species": ["Tb", "Tb", "Er", "Er", "Er", "N", "N", "N", "N"],
  "fractional_positions": [[0.605, 0.179, 0.611], [0.395, 0.821, 0.389], [0.000, 0.000, 0.000], [0.206, 0.401, 0.188], [0.794, 0.599, 0.812], [0.801, 0.099, 0.299], [0.199, 0.901, 0.701], [0.397, 0.302, 0.904], [0.603, 0.698, 0.096]]
}

=====

Entry 22:
{
  "formula": "InB3Cl",
  "functional": "GGA-PBE",
  "state": "optimized geometry",
  "e_form_raw_mev_per_atom": 2188,
  "e_tot_ev_per_atom": -2.74,
  "n_ef_per_ev_atom": 0.610,
  "vol_a3_per_atom": 13.22,
  "sg": "Pm-3m (221)",
  "lattice": [[4.043, 0.000, 0.000], [0.000, 4.043, 0.000], [0.000, 0.000, 4.043]],
  "species": ["B", "B", "B", "Cl", "In"],
  "fractional_positions": [[0.000, 0.500, 0.000], [0.000, 0.000, 0.500], [0.500, 0.000, 0.000], [0.000, 0.000, 0.000], [0.500, 0.500, 0.500]]
}

=====

Entry 23:
{
  "formula": "TcNiP2Se",
  "functional": "GGA-PBE",
  "state": "optimized geometry",
  "e_form_raw_mev_per_atom": -206,
  "e_tot_ev_per_atom": -6.30,
  "n_ef_per_ev_atom": 0.341,
  "vol_a3_per_atom": 16.23,
  "sg": "Cm (8)",
  "lattice": [[-0.303, 5.580, -4.461], [-2.395, 1.651, 2.227], [4.714, 2.045, 3.553]],
  "species": ["Tc", "Tc", "Ni", "Ni", "P", "P", "P", "P", "Se", "Se"],
  "fractional_positions": [[0.800, 0.000, 0.959], [0.800, 0.500, 0.459], [0.093, 0.000, 0.679], [0.093, 0.500, 0.179], [0.626, 0.000, 0.271], [0.626, 0.500, 0.771], [0.975, 0.000, 0.320], [0.975, 0.500, 0.820], [0.305, 0.000, 0.116], [0.305, 0.500, 0.616]]
}

=====

Entry 24:
{
  "formula": "MnIn4SnS8",
  "functional": "GGA-PBE",
  "state": "optimized geometry",
  "e_form_raw_mev_per_atom": -491,
  "e_tot_ev_per_atom": -4.57,
  "n_ef_per_ev_atom": 0.150,
  "vol_a3_per_atom": 23.59,
  "sg": "R3m (160)",
  "lattice": [[8.000, 0.000, 0.000], [4.000, 6.929, 0.000], [4.000, 2.310, 5.957]],
  "species": ["Mn", "In", "In", "In", "In", "Sn", "S", "S", "S", "S", "S", "S", "S", "S"],
  "fractional_positions": [[0.997, 0.997, 0.008], [0.610, 0.610, 0.171], [0.003, 0.494, 0.501], [0.494, 0.003, 0.501], [0.003, 0.003, 0.501], [0.405, 0.405, 0.785], [0.221, 0.799, 0.760], [0.799, 0.221, 0.760], [0.221, 0.221, 0.760], [0.253, 0.253, 0.241], [0.766, 0.211, 0.258], [0.211, 0.766, 0.258], [0.766, 0.766, 0.258], [0.753, 0.753, 0.740]]
}

=====

Entry 25:
{
  "formula": "NaYZr",
  "functional": "GGA-PBE",
  "state": "optimized geometry",
  "e_tot_ev_per_atom": -5.19,
  "e_form_mev_per_atom": 254,
  "n_ef_per_ev_atom": 1.260,
  "vol_a3_per_atom": 29.08,
  "sg": "Cm (8)",
  "lattice": [[9.759, 0.000, 0.009], [1.150, 1.676, -2.666], [-1.150, 1.676, 2.666]],
  "species": ["Y", "Na", "Zr"],
  "fractional_positions": [[0.518, 0.288, 0.712], [0.891, 0.702, 0.298], [0.230, 0.146, 0.854]]
}